Entry 1:
A geometry-optimized Zr3SeN structure, computed with GGA-PBEsol.

Properties
N(E_F) ... 1.5190 states/eV per atom
Size of the total moment ... 0.00 μB per formula unit
E_form (uncorrected) ... -0.82 eV per atom
Crystal system ... cubic

Lattice parameters (Å, degrees): 4.411 4.411 4.411 90.00 90.00 90.00
Fractional coordinates of all 5 atoms:
N  0.000  0.000  0.000
Zr  0.500  0.000  0.000
Zr  0.000  0.000  0.500
Zr  0.000  0.500  0.000
Se  0.500  0.500  0.500

---

Entry 2:
A geometry-optimized HfSiPd structure, computed with GGA-PBEsol.

Properties
N(E_F) ... 0.0915 states/eV per atom
Size of the total moment ... 0.00 μB per formula unit
E_form (uncorrected) ... -1.03 eV per atom
Crystal system ... orthorhombic

Lattice parameters (Å, degrees): 3.847 6.518 7.516 90.00 90.00 90.00
Fractional coordinates of all 12 atoms:
Hf  0.250  0.028  0.821
Pd  0.250  0.143  0.438
Si  0.750  0.241  0.624
Si  0.250  0.759  0.376
Hf  0.250  0.528  0.679
Pd  0.750  0.857  0.562
Pd  0.750  0.357  0.938
Si  0.750  0.741  0.876
Si  0.250  0.259  0.124
Hf  0.750  0.972  0.179
Hf  0.750  0.472  0.321
Pd  0.250  0.643  0.062

---

Entry 3:
A geometry-optimized SiCl structure, computed with GGA-PBEsol.

Properties
N(E_F) ... 0.6383 states/eV per atom
Size of the total moment ... 0.00 μB per formula unit
E_form (uncorrected) ... 0.57 eV per atom
Excess energy over the best structure of this formula in the dataset ... 886 meV per atom
Crystal system ... cubic

Lattice parameters (Å, degrees): 3.962 3.962 3.962 60.00 60.00 60.00
Fractional coordinates of all 2 atoms:
Cl  0.000  0.000  0.000
Si  0.500  0.500  0.500

---

Entry 4:
A geometry-optimized RbBa3Mo structure, computed with GGA-PBEsol.

Properties
Energy of formation from the pure elements ... 704.4 meV/atom
N(E_F) ... 0.8925 states/eV per atom
Size of the total moment ... 0.00 μB per formula unit
Crystal system ... cubic

Lattice parameters (Å, degrees): 6.143 6.143 6.143 90.00 90.00 90.00
Fractional coordinates of all 5 atoms:
Rb  0.500  0.500  0.500
Mo  0.000  0.000  0.000
Ba  0.000  0.000  0.500
Ba  0.500  0.000  0.000
Ba  0.000  0.500  0.000

---

Entry 5:
A geometry-optimized LiV2O5 structure, computed with GGA-PBEsol.

Properties
N(E_F) ... 0.2109 states/eV per atom
Size of the total moment ... 0.00 μB per formula unit
E_form (uncorrected) ... -2.34 eV per atom
Excess energy over the best structure of this formula in the dataset ... 0 meV per atom
Crystal system ... orthorhombic

Lattice parameters (Å, degrees): 3.581 5.220 11.194 90.00 90.00 110.06
Fractional coordinates of all 16 atoms:
O  0.242  0.484  0.574
O  0.044  0.087  0.127
O  0.242  0.484  0.926
V  0.796  0.591  0.601
Li  0.896  0.791  0.250
O  0.956  0.913  0.627
Li  0.104  0.209  0.750
O  0.044  0.087  0.373
V  0.796  0.591  0.899
O  0.282  0.563  0.250
V  0.204  0.409  0.101
O  0.956  0.913  0.873
O  0.758  0.516  0.426
V  0.204  0.409  0.399
O  0.758  0.516  0.074
O  0.718  0.437  0.750

---

Entry 6:
A geometry-optimized GaPb3S structure, computed with GGA-PBEsol.

Properties
N(E_F) ... 0.6370 states/eV per atom
Size of the total moment ... 0.00 μB per formula unit
E_form (uncorrected) ... 0.29 eV per atom
Crystal system ... cubic

Lattice parameters (Å, degrees): 5.424 5.424 5.424 90.00 90.00 90.00
Fractional coordinates of all 5 atoms:
Pb  0.000  0.000  0.500
Ga  0.500  0.500  0.500
S  0.000  0.000  0.000
Pb  0.500  0.000  0.000
Pb  0.000  0.500  0.000

---

Entry 7:
A geometry-optimized LiTi2TlSe structure, computed with GGA-PBEsol.

Properties
N(E_F) ... 1.1755 states/eV per atom
Size of the total moment ... 0.88 μB per formula unit
E_form (uncorrected) ... 0.60 eV per atom
Crystal system ... tetragonal

Lattice parameters (Å, degrees): 4.433 4.602 4.602 90.00 90.00 90.00
Fractional coordinates of all 5 atoms:
Li  0.000  0.000  0.000
Ti  0.000  0.500  0.000
Ti  0.000  0.000  0.500
Se  0.500  0.500  0.500
Tl  0.500  0.000  0.000

---

Entry 8:
A geometry-optimized TcBr2Cl structure, computed with GGA-PBEsol.

Properties
N(E_F) ... 0.6034 states/eV per atom
Size of the total moment ... 4.00 μB per formula unit
E_form (uncorrected) ... 0.73 eV per atom
Crystal system ... tetragonal

Lattice parameters (Å, degrees): 4.900 4.895 4.900 59.97 90.00 120.03
Fractional coordinates of all 4 atoms:
Tc  0.750  0.500  0.750
Br  0.000  0.000  0.000
Cl  0.500  0.000  0.500
Br  0.250  0.500  0.250

---

Entry 9:
A geometry-optimized P2RhCl structure, computed with GGA-PBEsol.

Properties
N(E_F) ... 0.5490 states/eV per atom
Size of the total moment ... 0.00 μB per formula unit
E_form (uncorrected) ... 0.45 eV per atom
Excess energy over the best structure of this formula in the dataset ... 618 meV per atom
Crystal system ... cubic

Lattice parameters (Å, degrees): 4.316 4.316 4.316 60.00 60.00 60.00
Fractional coordinates of all 4 atoms:
Rh  0.500  0.500  0.500
Cl  0.000  0.000  0.000
P  0.750  0.750  0.750
P  0.250  0.250  0.250

---

Entry 10:
A geometry-optimized AlZnFe2 structure, computed with GGA-PBEsol.

Properties
Energy of formation from the pure elements ... -93.2 meV/atom
N(E_F) ... 0.6757 states/eV per atom
Size of the total moment ... 4.10 μB per formula unit
Crystal system ... orthorhombic

Lattice parameters (Å, degrees): 3.196 3.899 4.635 114.87 110.17 90.00
Fractional coordinates of all 4 atoms:
Zn  0.495  0.495  0.990
Fe  0.742  0.242  0.485
Al  0.254  0.754  0.509
Fe  0.008  0.008  0.016

---

Entry 11:
A geometry-optimized BaTe2Os structure, computed with GGA-PBEsol.

Properties
N(E_F) ... 0.8661 states/eV per atom
Size of the total moment ... 0.00 μB per formula unit
E_form (uncorrected) ... 0.32 eV per atom
Excess energy over the best structure of this formula in the dataset ... 382 meV per atom
Crystal system ... cubic

Lattice parameters (Å, degrees): 5.197 5.197 5.197 60.00 60.00 60.00
Fractional coordinates of all 4 atoms:
Ba  0.500  0.500  0.500
Os  0.000  0.000  0.000
Te  0.750  0.750  0.750
Te  0.250  0.250  0.250

---

Entry 12:
A geometry-optimized AsCl structure, computed with GGA-PBEsol.

Properties
N(E_F) ... 0.0088 states/eV per atom
Size of the total moment ... 0.00 μB per formula unit
E_form (uncorrected) ... -0.37 eV per atom
Crystal system ... monoclinic

Lattice parameters (Å, degrees): 3.797 4.038 7.162 89.97 90.00 90.00
Fractional coordinates of all 4 atoms:
Cl  0.250  0.241  0.809
As  0.250  0.209  0.502
Cl  0.750  0.759  0.191
As  0.750  0.791  0.498